Tb3SnRh2, relaxed, DFT PBE; E_tot = -6.2160 eV/atom; E_form = -0.7833 eV per atom; V = 22.60 Å³ per atom; total magnetic moment = 0.00 μB per formula unit
1.0
-1.423 -2.793 -1.357
1.448 0.723 -3.008
9.346 -6.220 3.004
Tb Sn Rh
3 1 2
Direct
0.000 0.000 0.000
0.000 0.000 0.700
0.000 0.000 0.300
0.500 0.500 0.500
0.500 0.500 0.847
0.500 0.500 0.153

=====

Ir3Os5, relaxed, DFT PBE; polymorph energy (0 for the lowest one) = 0 meV/atom; E_tot = -10.3359 eV/atom; E_form = 0.0056 eV per atom; V = 14.37 Å³ per atom; total magnetic moment = 0.00 μB per formula unit
1.0
5.169 0.137 -0.152
2.789 6.745 -0.010
-2.769 -0.005 6.753
Ir Os
6 10
Direct
0.250 0.041 0.041
0.750 0.959 0.959
0.749 0.581 0.834
0.252 0.419 0.167
0.752 0.833 0.582
0.249 0.167 0.419
0.750 0.457 0.458
0.250 0.543 0.543
0.250 0.790 0.294
0.751 0.210 0.707
0.251 0.294 0.791
0.750 0.706 0.210
0.245 0.916 0.665
0.756 0.084 0.335
0.745 0.335 0.084
0.256 0.665 0.917

=====

Th2Zn2Se, relaxed, DFT PBE; formation energy from raw total energies = -807 meV per atom; E_tot = -4.9818 eV/atom; V = 23.90 Å³ per atom; total magnetic moment = 0.00 μB per formula unit
1.0
4.112 -0.009 -1.345
-2.275 3.676 -0.029
0.266 0.225 7.783
Th Zn Se
2 2 1
Direct
0.819 0.409 0.229
0.181 0.591 0.771
0.340 0.170 0.511
0.660 0.830 0.489
0.000 0.000 0.000

=====

Ac2Pm3Er2, relaxed, DFT PBE; E_tot = -4.3582 eV/atom; E_form = 0.1553 eV per atom; V = 36.75 Å³ per atom; total magnetic moment = 0.00 μB per formula unit
1.0
5.614 -0.002 1.421
2.540 4.895 1.765
0.616 -0.279 9.452
Ac Pm Er
2 3 2
Direct
0.134 0.134 0.599
0.866 0.866 0.401
0.000 0.000 0.000
0.273 0.273 0.183
0.727 0.727 0.817
0.404 0.404 0.786
0.596 0.596 0.214

=====

Pr4Dy2TmSc, relaxed, DFT PBE; E_tot = -4.8607 eV/atom; E_form = 0.0299 eV per atom; V = 32.57 Å³ per atom; total magnetic moment = 0.00 μB per formula unit
1.0
-0.662 -1.179 -4.960
4.763 -1.900 -0.184
1.314 -10.791 2.390
Pr Dy Tm Sc
4 2 1 1
Direct
0.000 0.755 0.746
0.000 0.245 0.254
0.500 0.746 0.254
0.500 0.254 0.746
0.000 0.000 0.000
0.500 0.000 0.500
0.500 0.500 0.000
0.000 0.500 0.500

=====

TaInBr2, relaxed, DFT PBE; formation energy from raw total energies = 19 meV per atom; polymorph energy (0 for the lowest one) = 269 meV/atom; E_tot = -4.4650 eV/atom; V = 23.65 Å³ per atom; total magnetic moment = 0.00 μB per formula unit
1.0
-0.203 -3.145 0.873
0.508 -0.895 -3.104
8.720 -0.155 1.472
In Br Ta
1 2 1
Direct
0.000 0.000 0.522
0.000 0.000 0.930
0.500 0.500 0.297
0.500 0.500 0.751

=====

Ag2BiBr5, relaxed, DFT PBE; formation energy from raw total energies = -480 meV per atom; polymorph energy (0 for the lowest one) = 0 meV/atom; E_tot = -2.7239 eV/atom; V = 43.07 Å³ per atom; total magnetic moment = 0.00 μB per formula unit
1.0
-4.700 -5.665 -1.226
-0.312 -6.181 5.094
-6.682 -0.742 4.368
Ag Bi Br
2 1 5
Direct
0.657 0.606 0.971
0.657 0.971 0.606
0.953 0.025 0.025
0.564 0.276 0.276
0.084 0.351 0.812
0.084 0.812 0.351
0.361 0.775 0.776
0.640 0.960 0.960

=====

YSc3Co4, relaxed, DFT PBE; E_tot = -7.0032 eV/atom; E_form = -0.2679 eV per atom; V = 16.11 Å³ per atom; total magnetic moment = 0.97 μB per formula unit
1.0
-0.198 -3.826 -2.337
6.138 0.701 -1.668
2.507 -4.586 7.296
Y Sc Co
2 6 8
Direct
0.000 0.500 0.000
0.000 0.500 0.500
0.000 0.000 0.000
0.000 0.000 0.500
0.500 0.000 0.750
0.500 0.000 0.250
0.500 0.500 0.750
0.500 0.500 0.250
0.500 0.761 0.000
0.500 0.761 0.500
0.500 0.239 0.000
0.500 0.239 0.500
0.000 0.761 0.750
0.000 0.761 0.250
0.000 0.239 0.250
0.000 0.239 0.750

=====

Tb2Nd2Ag3, relaxed, DFT PBE; E_tot = -4.0415 eV/atom; E_form = -0.1344 eV per atom; V = 27.93 Å³ per atom; total magnetic moment = 0.63 μB per formula unit
1.0
-1.244 2.886 -4.079
4.569 -2.393 0.170
-4.112 -7.923 -1.116
Tb Nd Ag
2 2 3
Direct
0.752 0.376 0.128
0.248 0.624 0.872
0.253 0.127 0.381
0.747 0.873 0.619
0.000 0.000 0.000
0.507 0.253 0.761
0.493 0.747 0.239

=====

LiLuHgIr, relaxed, DFT PBE; E_tot = -4.2767 eV/atom; E_form = -0.3773 eV per atom; V = 18.73 Å³ per atom; total magnetic moment = 0.00 μB per formula unit
1.0
-0.397 4.445 1.573
-2.406 0.897 3.975
2.305 1.341 3.909
Ir Lu Hg Li
1 1 1 1
Direct
0.250 0.250 0.250
0.500 0.500 0.500
0.750 0.750 0.750
0.000 0.000 0.000

=====

PmLuTlPb, relaxed, DFT PBE; E_tot = -4.1697 eV/atom; E_form = -0.3331 eV per atom; V = 28.31 Å³ per atom; total magnetic moment = 0.00 μB per formula unit
1.0
5.431 0.000 0.000
2.715 4.703 0.000
2.715 1.568 4.434
Pb Tl Lu Pm
1 1 1 1
Direct
0.500 0.500 0.500
0.000 0.000 0.000
0.750 0.750 0.750
0.250 0.250 0.250

=====

Er3Al3In2Au, relaxed, DFT PBE; E_tot = -4.2762 eV/atom; E_form = -0.5350 eV per atom; V = 22.01 Å³ per atom; total magnetic moment = 0.00 μB per formula unit
1.0
4.418 0.000 0.000
0.000 7.195 0.000
0.000 -3.597 6.231
Er Al In Au
3 3 2 1
Direct
0.000 0.000 0.410
0.000 0.590 0.590
0.000 0.410 0.000
0.500 0.767 0.000
0.500 0.233 0.233
0.500 0.000 0.767
0.500 0.333 0.667
0.500 0.667 0.333
0.000 0.000 0.000

=====

Sr2CaNi9, relaxed, DFT PBE; E_tot = -4.8314 eV/atom; E_form = -0.0483 eV per atom; V = 15.46 Å³ per atom; total magnetic moment = 2.95 μB per formula unit
1.0
-2.853 -2.641 -3.285
2.194 -2.418 -3.905
0.654 -8.450 2.282
Sr Ca Ni
2 1 9
Direct
0.861 0.861 0.418
0.139 0.139 0.582
0.000 0.000 0.000
0.668 0.668 0.995
0.332 0.332 0.005
0.500 0.500 0.500
0.425 0.425 0.234
0.917 0.425 0.234
0.425 0.917 0.234
0.575 0.575 0.766
0.575 0.083 0.766
0.083 0.575 0.766

=====

EuMg2Zn, relaxed, DFT PBE; E_tot = -3.4834 eV/atom; E_form = 0.2010 eV per atom; V = 25.37 Å³ per atom; total magnetic moment = 7.75 μB per formula unit
1.0
3.249 0.000 0.000
1.624 2.814 0.000
1.624 0.938 11.101
Eu Zn Mg
1 1 2
Direct
0.000 0.000 0.000
0.500 0.500 0.500
0.099 0.099 0.703
0.901 0.901 0.297

=====

PuHfTh, relaxed, DFT PBE; polymorph energy (0 for the lowest one) = 53 meV/atom; E_tot = -10.3457 eV/atom; E_form = 0.2227 eV per atom; V = 24.66 Å³ per atom; total magnetic moment = 0.00 μB per formula unit
1.0
-3.163 -4.049 -0.955
2.406 -1.446 -1.838
4.497 -1.878 7.365
Pu Th Hf
2 2 2
Direct
0.547 0.250 0.095
0.453 0.750 0.905
0.902 0.250 0.804
0.098 0.750 0.196
0.275 0.250 0.550
0.725 0.750 0.450

=====

TlOsN2, relaxed, DFT PBE; formation energy from raw total energies = 724 meV per atom; polymorph energy (0 for the lowest one) = 240 meV/atom; E_tot = -6.8376 eV/atom; V = 14.76 Å³ per atom; total magnetic moment = 0.00 μB per formula unit
1.0
5.303 -4.159 2.829
5.782 -4.466 -0.220
6.911 -2.001 1.287
Tl Os N
1 1 2
Direct
0.000 0.000 0.000
0.500 0.500 0.500
0.881 0.881 0.881
0.119 0.119 0.119

=====

UTeCl, relaxed, DFT PBE; formation energy from raw total energies = -959 meV per atom; E_tot = -6.3843 eV/atom; V = 31.77 Å³ per atom; total magnetic moment = 2.82 μB per formula unit
1.0
5.030 0.000 -0.430
0.000 5.063 0.000
-1.761 0.000 7.635
Cl Te U
2 2 2
Direct
0.344 0.250 0.697
0.656 0.750 0.303
0.127 0.250 0.241
0.873 0.750 0.759
0.750 0.250 0.499
0.250 0.750 0.501

=====

YScTlRh, relaxed, DFT PBE; polymorph energy (0 for the lowest one) = 131 meV/atom; E_tot = -6.1190 eV/atom; E_form = -0.4907 eV per atom; V = 21.90 Å³ per atom; total magnetic moment = 0.00 μB per formula unit
1.0
-2.022 -2.359 3.898
-0.298 -4.976 0.022
2.886 -2.657 3.077
Y Sc Tl Rh
1 1 1 1
Direct
0.750 0.750 0.750
0.250 0.250 0.250
0.000 0.000 0.000
0.500 0.500 0.500

=====

SrLi2PtCl8, relaxed, DFT PBE; formation energy from raw total energies = -1381 meV per atom; E_tot = -3.5747 eV/atom; V = 27.23 Å³ per atom; total magnetic moment = 0.00 μB per formula unit
1.0
6.410 -0.543 -0.154
-0.604 6.719 1.406
-0.153 1.877 8.039
Sr Li Pt Cl
1 2 1 8
Direct
0.000 0.000 0.500
0.520 0.329 0.698
0.480 0.671 0.302
0.000 0.000 0.000
0.107 0.766 0.283
0.677 0.765 0.036
0.854 0.195 0.128
0.893 0.234 0.717
0.323 0.235 0.964
0.146 0.805 0.872
0.603 0.716 0.561
0.397 0.284 0.439

=====

YTc2W, relaxed, DFT PBE; E_tot = -9.8766 eV/atom; E_form = 0.1607 eV per atom; V = 17.27 Å³ per atom; total magnetic moment = 0.00 μB per formula unit
1.0
-3.173 0.421 3.336
2.837 -2.127 2.967
1.262 2.854 0.840
Tc W Y
2 1 1
Direct
0.000 0.000 0.000
0.500 0.500 0.000
0.500 0.000 0.500
0.000 0.500 0.500

=====

Mn2TcIrN, relaxed, DFT PBE; formation energy from raw total energies = -70 meV per atom; E_tot = -9.2479 eV/atom; V = 11.52 Å³ per atom; total magnetic moment = 0.23 μB per formula unit
1.0
-0.479 -2.768 -2.573
-1.129 -2.371 2.760
-3.759 1.156 -0.544
Ir Tc Mn N
1 1 2 1
Direct
0.500 0.500 0.500
0.000 0.000 0.500
0.000 0.500 0.000
0.500 0.000 0.000
0.000 0.000 0.000

=====

SbP2Ir, relaxed, DFT PBE; formation energy from raw total energies = 552 meV per atom; E_tot = -5.3990 eV/atom; V = 16.90 Å³ per atom; total magnetic moment = 0.00 μB per formula unit
1.0
-3.686 -1.849 -2.367
1.669 -4.353 -0.935
-0.164 2.090 4.268
Ir P Sb
1 2 1
Direct
0.750 0.250 0.500
0.000 0.000 0.000
0.250 0.750 0.500
0.500 0.500 0.000

=====

Ba3Al2Cd4, relaxed, DFT PBE; E_tot = -2.1302 eV/atom; E_form = -0.2509 eV per atom; V = 32.28 Å³ per atom; total magnetic moment = 0.00 μB per formula unit
1.0
-4.680 1.409 -1.466
-4.218 0.592 5.155
-0.917 9.499 3.175
Ba Al Cd
3 2 4
Direct
0.365 0.587 0.682
0.000 0.000 0.000
0.635 0.413 0.318
0.340 0.994 0.326
0.660 0.006 0.674
0.279 0.371 0.072
0.721 0.629 0.928
0.102 0.214 0.581
0.898 0.786 0.419

=====

Mg2SnPt2, relaxed, DFT PBE; E_tot = -4.5152 eV/atom; E_form = -0.6605 eV per atom; V = 19.59 Å³ per atom; total magnetic moment = 0.00 μB per formula unit
1.0
-3.735 -1.493 2.122
0.727 -4.042 -1.562
5.351 -2.105 7.937
Mg Sn Pt
4 2 4
Direct
0.750 0.250 0.998
0.250 0.750 0.674
0.250 0.750 0.002
0.750 0.250 0.326
0.750 0.250 0.680
0.250 0.750 0.320
0.250 0.250 0.486
0.750 0.750 0.164
0.250 0.250 0.836
0.750 0.750 0.514

=====

CsGeI2O, relaxed, DFT PBE; formation energy from raw total energies = 428 meV per atom; polymorph energy (0 for the lowest one) = 1248 meV/atom; E_tot = -2.2775 eV/atom; V = 40.95 Å³ per atom; total magnetic moment = 0.00 μB per formula unit
1.0
-0.528 1.303 -6.697
6.532 -1.844 -0.874
-1.259 -4.127 -0.704
Cs I Ge O
1 2 1 1
Direct
0.000 0.000 0.000
0.000 0.500 0.000
0.500 0.000 0.000
0.500 0.500 0.500
0.000 0.000 0.500

=====

PaCoCuPd, relaxed, DFT PBE; E_tot = -6.6276 eV/atom; E_form = -0.1549 eV per atom; V = 16.70 Å³ per atom; total magnetic moment = 0.00 μB per formula unit
1.0
4.555 0.000 0.000
2.277 3.944 0.000
2.277 1.315 3.719
Pa Co Cu Pd
1 1 1 1
Direct
0.750 0.750 0.750
0.500 0.500 0.500
0.250 0.250 0.250
0.000 0.000 0.000